No. 1
# TlSbTe2Au SCAN single point on PBEsol structure
# ΔE_f (raw)   1117.1 meV/atom
# Uncorrected energy   -49.538 eV per atom
# DOS(E_F)   1.284 states/eV per atom
# ρ   7.41 g/cm³
data_TlSbTe2Au
_space_group_name_H-M_alt 'P 4/m m m'
_space_group_IT_number 123
_space_group_name_Hall '-P 4 2'
_cell_length_a 5.5890
_cell_length_b 5.5890
_cell_length_c 5.5828
_cell_angle_alpha 90.00
_cell_angle_beta 90.00
_cell_angle_gamma 90.00
loop_
_atom_site_label
_atom_site_type_symbol
_atom_site_fract_x
_atom_site_fract_y
_atom_site_fract_z
Tl1 Tl 0.0000 0.0000 0.0000
Sb1 Sb 0.0000 0.0000 0.5000
Te1 Te 0.0000 0.5000 0.0000
Au1 Au 0.5000 0.5000 0.5000

=====

No. 2
# Sb2TeWAu SCAN single point on PBEsol structure
# ΔE_f (raw)   811.5 meV/atom
# Uncorrected energy   -49.312 eV per atom
# DOS(E_F)   0.678 states/eV per atom
# ρ   9.07 g/cm³
data_Sb2TeWAu
_space_group_name_H-M_alt 'P 4/m m m'
_space_group_IT_number 123
_space_group_name_Hall '-P 4 2'
_cell_length_a 5.1895
_cell_length_b 5.1895
_cell_length_c 5.1136
_cell_angle_alpha 90.00
_cell_angle_beta 90.00
_cell_angle_gamma 90.00
loop_
_atom_site_label
_atom_site_type_symbol
_atom_site_fract_x
_atom_site_fract_y
_atom_site_fract_z
Sb1 Sb 0.0000 0.5000 0.0000
Te1 Te 0.0000 0.0000 0.5000
W1 W 0.0000 0.0000 0.0000
Au1 Au 0.5000 0.5000 0.5000

=====

No. 3
# ZrSbTe2Au SCAN single point on PBEsol structure
# ΔE_f (raw)   359.2 meV/atom
# Uncorrected energy   -41.964 eV per atom
# DOS(E_F)   0.993 states/eV per atom
# ρ   6.86 g/cm³
data_ZrSbTe2Au
_space_group_name_H-M_alt 'P 4/m m m'
_space_group_IT_number 123
_space_group_name_Hall '-P 4 2'
_cell_length_a 5.4101
_cell_length_b 5.4101
_cell_length_c 5.4995
_cell_angle_alpha 90.00
_cell_angle_beta 90.00
_cell_angle_gamma 90.00
loop_
_atom_site_label
_atom_site_type_symbol
_atom_site_fract_x
_atom_site_fract_y
_atom_site_fract_z
Zr1 Zr 0.0000 0.0000 0.0000
Sb1 Sb 0.0000 0.0000 0.5000
Te1 Te 0.0000 0.5000 0.0000
Au1 Au 0.5000 0.5000 0.5000

=====

No. 4
# TlSbAu4 SCAN single point on PBEsol structure
# ΔE_f (raw)   55.1 meV/atom
# Uncorrected energy   -64.319 eV per atom
# DOS(E_F)   0.277 states/eV per atom
# ρ   15.25 g/cm³
data_TlSbAu4
_space_group_name_H-M_alt 'F -4 3 m'
_space_group_IT_number 216
_space_group_name_Hall 'F -4 2 3'
_cell_length_a 7.8579
_cell_length_b 7.8579
_cell_length_c 7.8579
_cell_angle_alpha 90.00
_cell_angle_beta 90.00
_cell_angle_gamma 90.00
loop_
_atom_site_label
_atom_site_type_symbol
_atom_site_fract_x
_atom_site_fract_y
_atom_site_fract_z
Tl1 Tl 0.0000 0.0000 0.0000
Sb1 Sb 0.2500 0.2500 0.7500
Au1 Au 0.1248 0.1248 0.3752

=====

No. 5
# TlSb2Au SCAN single point on PBEsol structure
# ΔE_f (raw)   43.2 meV/atom
# Uncorrected energy   -53.966 eV per atom
# DOS(E_F)   0.442 states/eV per atom
# ρ   10.71 g/cm³
data_TlSb2Au
_space_group_name_H-M_alt 'I m m m'
_space_group_IT_number 71
_space_group_name_Hall '-I 2 2'
_cell_length_a 3.3701
_cell_length_b 5.5225
_cell_length_c 10.7395
_cell_angle_alpha 90.00
_cell_angle_beta 90.00
_cell_angle_gamma 90.00
loop_
_atom_site_label
_atom_site_type_symbol
_atom_site_fract_x
_atom_site_fract_y
_atom_site_fract_z
Tl1 Tl 0.0000 0.0000 0.0000
Sb1 Sb 0.0000 0.5000 0.2095
Au1 Au 0.0000 0.0000 0.5000

=====

No. 6
# Tl2SbAu SCAN single point on PBEsol structure
# ΔE_f (raw)   -32.4 meV/atom
# Uncorrected energy   -62.816 eV per atom
# DOS(E_F)   0.354 states/eV per atom
# ρ   11.33 g/cm³
data_Tl2SbAu
_space_group_name_H-M_alt 'I m m m'
_space_group_IT_number 71
_space_group_name_Hall '-I 2 2'
_cell_length_a 3.7482
_cell_length_b 4.2403
_cell_length_c 13.4214
_cell_angle_alpha 90.00
_cell_angle_beta 90.00
_cell_angle_gamma 90.00
loop_
_atom_site_label
_atom_site_type_symbol
_atom_site_fract_x
_atom_site_fract_y
_atom_site_fract_z
Tl1 Tl 0.0000 0.0000 0.1863
Sb1 Sb 0.0000 0.5000 0.0000
Au1 Au 0.0000 0.5000 0.5000